# 1
The following is a PBE-GGA calculation of Au after structural relaxation, from the Alexandria database.

Values from the calculation:
ΔE_f, eV per atom: 0.14
Offset from the most stable computed form, eV/atom: 0.144
Total magnetization, μB/atom: 0.0000
Space-group type: Cmmm, No. 65

a b c (Å): 11.470 7.378 2.895
angles (deg): 90.00 90.00 90.00
Atoms (fractional coordinates):
Au  0.000  0.189  0.000
Au  0.880  0.500  0.500
Au  0.250  0.750  0.000
Au  0.380  0.000  0.500
Au  0.000  0.811  0.000
Au  0.620  0.000  0.500
Au  0.500  0.689  0.000
Au  0.750  0.750  0.000
Au  0.250  0.250  0.000
Au  0.120  0.500  0.500
Au  0.500  0.311  0.000
Au  0.750  0.250  0.000

=====

# 2
The following is a PBE-GGA calculation of Na3ErTm2Se6 after structural relaxation, from the Alexandria database.

Values from the calculation:
Total magnetization, μB/atom: 0.0000
Space-group type: C2/m, No. 12
E_form (uncorrected), meV per atom: -1702

a b c (Å): 7.104 7.104 7.392
angles (deg): 99.22 99.22 120.00
Atoms (fractional coordinates):
Se  0.590  0.924  0.773
Se  0.741  0.741  0.227
Se  0.924  0.590  0.773
Se  0.259  0.259  0.773
Se  0.410  0.076  0.227
Se  0.076  0.410  0.227
Tm  0.333  0.667  0.000
Tm  0.667  0.333  0.000
Na  0.833  0.167  0.500
Na  0.500  0.500  0.500
Na  0.167  0.833  0.500
Er  0.000  0.000  0.000

=====

# 3
The following is a PBE-GGA calculation of AlZnRe2Mo after structural relaxation, from the Alexandria database.

Values from the calculation:
ΔE_f, eV per atom: 1.68
Total magnetization, μB/atom: 0.0034
Space-group type: P4/mmm, No. 123

a b c (Å): 4.559 4.152 4.559
angles (deg): 90.00 90.00 90.00
Atoms (fractional coordinates):
Re  0.000  0.000  0.500
Re  0.500  0.000  0.000
Mo  0.500  0.500  0.500
Al  0.000  0.500  0.000
Zn  0.000  0.000  0.000

=====

# 4
The following is a PBE-GGA calculation of PmPrErTh2 after structural relaxation, from the Alexandria database.

Values from the calculation:
ΔE_f, eV per atom: 0.37
Total magnetization, μB/atom: 0.0000
Space-group type: Cmcm, No. 63

a b c (Å): 6.728 6.718 8.557
angles (deg): 113.11 90.00 90.00
Atoms (fractional coordinates):
Th  0.000  0.252  0.000
Th  0.500  0.252  0.000
Th  0.000  0.748  0.000
Th  0.500  0.748  0.000
Pm  0.250  0.849  0.697
Pm  0.750  0.151  0.303
Pr  0.250  0.256  0.512
Pr  0.750  0.744  0.488
Er  0.750  0.349  0.699
Er  0.250  0.651  0.301

=====

> Which formula does entry 1 have?

Au